First-principles (PBE) data for Ta2SbF after structural relaxation, as listed in the Alexandria database.

Lattice parameters (Å, degrees): 4.6481 4.6481 8.3593 73.86 73.86 90.00
Fractional positions:
Sb: 0.0000 0.0000 0.0000
Sb: 0.7500 0.2500 0.5000
F: 0.5000 0.5000 0.0000
F: 0.2500 0.7500 0.5000
Ta: 0.5065 0.1250 0.2500
Ta: 0.2435 0.6250 0.2500
Ta: 0.3750 0.4935 0.7500
Ta: 0.8750 0.7565 0.7500

Computed properties:
Total energy: -7.2517 eV per atom
Polymorph energy (0 for the lowest one): 0.274 eV/atom
ΔE_f (raw): 0.17 eV/atom

***

First-principles (PBE) data for TaSbF2 after structural relaxation, as listed in the Alexandria database.

Lattice parameters (Å, degrees): 4.3973 4.3973 4.3973 60.00 60.00 60.00
Fractional positions:
Sb: 0.0000 0.0000 0.0000
F: 0.2500 0.2500 0.2500
F: 0.7500 0.7500 0.7500
Ta: 0.5000 0.5000 0.5000

Computed properties:
Total energy: -5.4239 eV per atom
Polymorph energy (0 for the lowest one): 0.923 eV/atom
ΔE_f (raw): -0.49 eV/atom

***

First-principles (PBE) data for TaSb3F after structural relaxation, as listed in the Alexandria database.

Lattice parameters (Å, degrees): 4.7999 4.7999 4.7999 90.00 90.00 90.00
Fractional positions:
Sb: 0.0000 0.5000 0.0000
Sb: 0.0000 0.0000 0.5000
Sb: 0.5000 0.0000 0.0000
F: 0.0000 0.0000 0.0000
Ta: 0.5000 0.5000 0.5000

Computed properties:
Total energy: -4.9095 eV per atom
Polymorph energy (0 for the lowest one): 0.311 eV/atom
ΔE_f (raw): 0.31 eV/atom

***

First-principles (PBE) data for TaSb2F after structural relaxation, as listed in the Alexandria database.

Lattice parameters (Å, degrees): 5.9458 5.9458 7.5448 66.79 66.79 90.00
Fractional positions:
Sb: 0.6085 0.1250 0.2500
Sb: 0.1415 0.6250 0.2500
Sb: 0.3750 0.3915 0.7500
Sb: 0.8750 0.8585 0.7500
F: 0.5000 0.5000 0.0000
F: 0.2500 0.7500 0.5000
Ta: 0.0000 0.0000 0.0000
Ta: 0.7500 0.2500 0.5000

Computed properties:
Total energy: -5.3893 eV per atom
Polymorph energy (0 for the lowest one): 0.300 eV/atom
ΔE_f (raw): 0.10 eV/atom

***

First-principles (PBE) data for TaSbF2 after structural relaxation, as listed in the Alexandria database.

Lattice parameters (Å, degrees): 10.8589 10.8589 10.8589 16.42 16.42 16.42
Fractional positions:
Sb: 0.5000 0.5000 0.5000
F: 0.9413 0.9413 0.9413
F: 0.0587 0.0587 0.0587
Ta: 0.0000 0.0000 0.0000

Computed properties:
Total energy: -6.3470 eV per atom
Polymorph energy (0 for the lowest one): 0.000 eV/atom
ΔE_f (raw): -1.42 eV/atom

***

First-principles (PBE) data for TaSbF3 after structural relaxation, as listed in the Alexandria database.

Lattice parameters (Å, degrees): 4.5845 4.5845 4.5845 90.00 90.00 90.00
Fractional positions:
Sb: 0.0000 0.0000 0.0000
F: 0.0000 0.5000 0.0000
F: 0.0000 0.0000 0.5000
F: 0.5000 0.0000 0.0000
Ta: 0.5000 0.5000 0.5000

Computed properties:
Total energy: -4.5914 eV per atom
ΔE_f (raw): -0.27 eV/atom

***

First-principles (PBE) data for TaSb2TeF after structural relaxation, as listed in the Alexandria database.

Lattice parameters (Å, degrees): 4.6074 4.6074 5.3108 90.00 90.00 90.00
Fractional positions:
Sb: 0.0000 0.5000 0.0000
Sb: 0.5000 0.0000 0.0000
F: 0.0000 0.0000 0.0000
Te: 0.0000 0.0000 0.5000
Ta: 0.5000 0.5000 0.5000

Computed properties:
Total energy: -4.6614 eV per atom
Polymorph energy (0 for the lowest one): 0.370 eV/atom
ΔE_f (raw): 0.36 eV/atom

***

First-principles (PBE) data for TaSbTe2F after structural relaxation, as listed in the Alexandria database.

Lattice parameters (Å, degrees): 5.1454 5.1454 4.3495 90.00 90.00 90.00
Fractional positions:
Sb: 0.0000 0.0000 0.5000
F: 0.0000 0.0000 0.0000
Te: 0.0000 0.5000 0.0000
Te: 0.5000 0.0000 0.0000
Ta: 0.5000 0.5000 0.5000

Computed properties:
Total energy: -4.3720 eV per atom
Polymorph energy (0 for the lowest one): 0.491 eV/atom
ΔE_f (raw): 0.45 eV/atom

***

First-principles (PBE) data for TaSb2TeF after structural relaxation, as listed in the Alexandria database.

Lattice parameters (Å, degrees): 5.3205 5.3205 5.2747 90.00 90.00 90.00
Fractional positions:
Sb: 0.0000 0.5000 0.0000
Sb: 0.5000 0.0000 0.0000
F: 0.5000 0.5000 0.5000
Te: 0.0000 0.0000 0.5000
Ta: 0.0000 0.0000 0.0000

Computed properties:
Total energy: -5.0313 eV per atom
Polymorph energy (0 for the lowest one): 0.000 eV/atom
ΔE_f (raw): -0.01 eV/atom

***

First-principles (PBE) data for TaSbTe2F after structural relaxation, as listed in the Alexandria database.

Lattice parameters (Å, degrees): 5.2999 5.2999 5.3735 90.00 90.00 90.00
Fractional positions:
Sb: 0.0000 0.0000 0.5000
F: 0.5000 0.5000 0.5000
Te: 0.0000 0.5000 0.0000
Te: 0.5000 0.0000 0.0000
Ta: 0.0000 0.0000 0.0000

Computed properties:
Total energy: -4.8629 eV per atom
Polymorph energy (0 for the lowest one): 0.000 eV/atom
ΔE_f (raw): -0.04 eV/atom

***

First-principles (PBE) data for TaSbTe2F after structural relaxation, as listed in the Alexandria database.

Lattice parameters (Å, degrees): 5.7229 5.3205 5.7229 90.00 90.00 90.00
Fractional positions:
Sb: 0.0000 0.0000 0.0000
F: 0.5000 0.5000 0.5000
Te: 0.0000 0.0000 0.5000
Te: 0.5000 0.0000 0.0000
Ta: 0.0000 0.5000 0.0000

Computed properties:
Total energy: -3.8018 eV per atom
Polymorph energy (0 for the lowest one): 1.061 eV/atom
ΔE_f (raw): 1.02 eV/atom

***

First-principles (PBE) data for TbSbF after structural relaxation, as listed in the Alexandria database.

Lattice parameters (Å, degrees): 4.3931 7.1350 6.9122 60.70 90.03 90.01
Fractional positions:
Tb: 0.5000 0.2513 0.5048
Tb: 0.5000 0.7487 0.4952
Sb: 0.0002 0.3745 0.7457
Sb: 0.9998 0.6255 0.2543
F: 0.5001 0.8964 0.7125
F: 0.4999 0.1036 0.2875

Computed properties:
Total energy: -5.5169 eV per atom
Polymorph energy (0 for the lowest one): 0.203 eV/atom
ΔE_f (raw): -1.98 eV/atom

***

First-principles (PBE) data for TbSbF after structural relaxation, as listed in the Alexandria database.

Lattice parameters (Å, degrees): 4.0838 5.9313 7.1204 119.06 73.38 110.11
Fractional positions:
F: 0.2195 0.8410 0.9019
F: 0.7805 0.1590 0.0981
Sb: 0.4547 0.7330 0.3241
Sb: 0.5453 0.2670 0.6759
Tb: 0.8151 0.8651 0.7352
Tb: 0.1849 0.1349 0.2648

Computed properties:
Total energy: -5.7198 eV per atom
Polymorph energy (0 for the lowest one): 0.000 eV/atom
ΔE_f (raw): -2.18 eV/atom

***

First-principles (PBE) data for TbSbF after structural relaxation, as listed in the Alexandria database.

Lattice parameters (Å, degrees): 4.8140 3.9636 3.9636 120.00 90.00 90.00
Fractional positions:
Sb: 0.6667 0.3333 0.6667
Tb: 0.1667 0.6667 0.3333
F: 0.1666 0.0000 0.0000

Computed properties:
Total energy: -5.6424 eV per atom
Polymorph energy (0 for the lowest one): 0.077 eV/atom
ΔE_f (raw): -2.10 eV/atom

***

First-principles (PBE) data for TcSbF3 after structural relaxation, as listed in the Alexandria database.

Lattice parameters (Å, degrees): 4.5824 4.5824 4.5824 90.00 90.00 90.00
Fractional positions:
Sb: 0.0000 0.0000 0.0000
Tc: 0.5000 0.5000 0.5000
F: 0.0000 0.5000 0.0000
F: 0.0000 0.0000 0.5000
F: 0.5000 0.0000 0.0000

Computed properties:
Total energy: -4.5637 eV per atom
Polymorph energy (0 for the lowest one): 0.194 eV/atom
ΔE_f (raw): -0.54 eV/atom

***

First-principles (PBE) data for TcSb2F after structural relaxation, as listed in the Alexandria database.

Lattice parameters (Å, degrees): 4.6628 4.6628 4.6628 60.00 60.00 60.00
Fractional positions:
Sb: 0.2500 0.2500 0.2500
Sb: 0.7500 0.7500 0.7500
Tc: 0.5000 0.5000 0.5000
F: 0.0000 0.0000 0.0000

Computed properties:
Total energy: -5.4011 eV per atom
Polymorph energy (0 for the lowest one): 0.000 eV/atom
ΔE_f (raw): -0.28 eV/atom

***

First-principles (PBE) data for Tc2SbF after structural relaxation, as listed in the Alexandria database.

Lattice parameters (Å, degrees): 4.4609 4.4609 4.4609 60.00 60.00 60.00
Fractional positions:
Sb: 0.5000 0.5000 0.5000
Tc: 0.2500 0.2500 0.2500
Tc: 0.7500 0.7500 0.7500
F: 0.0000 0.0000 0.0000

Computed properties:
Total energy: -6.5206 eV per atom
Polymorph energy (0 for the lowest one): 0.000 eV/atom
ΔE_f (raw): 0.16 eV/atom

***

First-principles (PBE) data for TcSbF3 after structural relaxation, as listed in the Alexandria database.

Lattice parameters (Å, degrees): 4.3957 4.3957 4.3957 90.00 90.00 90.00
Fractional positions:
Sb: 0.5000 0.5000 0.5000
Tc: 0.0000 0.0000 0.0000
F: 0.0000 0.5000 0.0000
F: 0.0000 0.0000 0.5000
F: 0.5000 0.0000 0.0000

Computed properties:
Total energy: -4.7582 eV per atom
Polymorph energy (0 for the lowest one): 0.000 eV/atom
ΔE_f (raw): -0.74 eV/atom

***

First-principles (PBE) data for Tc2SbF after structural relaxation, as listed in the Alexandria database.

Lattice parameters (Å, degrees): 6.7671 6.7671 5.4941 51.99 51.99 90.00
Fractional positions:
Sb: 0.0000 0.0000 0.0000
Sb: 0.7500 0.2500 0.5000
Tc: 0.5560 0.1250 0.2500
Tc: 0.1940 0.6250 0.2500
Tc: 0.3750 0.4440 0.7500
Tc: 0.8750 0.8060 0.7500
F: 0.5000 0.5000 0.0000
F: 0.2500 0.7500 0.5000

Computed properties:
Total energy: -6.4202 eV per atom
Polymorph energy (0 for the lowest one): 0.100 eV/atom
ΔE_f (raw): 0.26 eV/atom

***

First-principles (PBE) data for TcSb2F after structural relaxation, as listed in the Alexandria database.

Lattice parameters (Å, degrees): 5.7361 5.7361 7.3882 67.16 67.16 90.00
Fractional positions:
Sb: 0.6314 0.1250 0.2500
Sb: 0.1186 0.6250 0.2500
Sb: 0.3750 0.3686 0.7500
Sb: 0.8750 0.8814 0.7500
Tc: 0.0000 0.0000 0.0000
Tc: 0.7500 0.2500 0.5000
F: 0.5000 0.5000 0.0000
F: 0.2500 0.7500 0.5000

Computed properties:
Total energy: -5.2094 eV per atom
Polymorph energy (0 for the lowest one): 0.192 eV/atom
ΔE_f (raw): -0.09 eV/atom

***

First-principles (PBE) data for TcSbTe2F after structural relaxation, as listed in the Alexandria database.

Lattice parameters (Å, degrees): 5.3141 5.3141 4.3903 90.00 90.00 90.00
Fractional positions:
Sb: 0.0000 0.0000 0.5000
Te: 0.0000 0.5000 0.0000
Te: 0.5000 0.0000 0.0000
Tc: 0.5000 0.5000 0.5000
F: 0.0000 0.0000 0.0000

Computed properties:
Total energy: -3.9788 eV per atom
Polymorph energy (0 for the lowest one): 0.381 eV/atom
ΔE_f (raw): 0.55 eV/atom

***

First-principles (PBE) data for TcSb2TeF after structural relaxation, as listed in the Alexandria database.

Lattice parameters (Å, degrees): 4.6528 4.6528 5.3225 90.00 90.00 90.00
Fractional positions:
Sb: 0.0000 0.5000 0.0000
Sb: 0.5000 0.0000 0.0000
Te: 0.0000 0.0000 0.5000
Tc: 0.5000 0.5000 0.5000
F: 0.0000 0.0000 0.0000

Computed properties:
Total energy: -4.2533 eV per atom
Polymorph energy (0 for the lowest one): 0.334 eV/atom
ΔE_f (raw): 0.47 eV/atom

***

First-principles (PBE) data for TcSbTe2F after structural relaxation, as listed in the Alexandria database.

Lattice parameters (Å, degrees): 5.1656 5.1656 5.2129 90.00 90.00 90.00
Fractional positions:
Sb: 0.0000 0.0000 0.5000
Te: 0.0000 0.5000 0.0000
Te: 0.5000 0.0000 0.0000
Tc: 0.0000 0.0000 0.0000
F: 0.5000 0.5000 0.5000

Computed properties:
Total energy: -4.3597 eV per atom
Polymorph energy (0 for the lowest one): 0.000 eV/atom
ΔE_f (raw): 0.17 eV/atom

***

First-principles (PBE) data for TcSb2TeF after structural relaxation, as listed in the Alexandria database.

Lattice parameters (Å, degrees): 5.1607 5.1607 5.1658 90.00 90.00 90.00
Fractional positions:
Sb: 0.0000 0.5000 0.0000
Sb: 0.5000 0.0000 0.0000
Te: 0.0000 0.0000 0.5000
Tc: 0.0000 0.0000 0.0000
F: 0.5000 0.5000 0.5000

Computed properties:
Total energy: -4.5871 eV per atom
Polymorph energy (0 for the lowest one): 0.000 eV/atom
ΔE_f (raw): 0.14 eV/atom